This record from the Open Quantum Materials Database describes a relaxed HoLuSi2Ni crystal. The functional is PBE.

Cell lengths 5.4608, 5.4608, 9.8713 Å; angles 115.80, 115.80, 44.54 degrees
Positions (direct):
1 Ho 0.1885 0.1885 0.1054
2 Ho 0.8115 0.8115 0.8946
3 Lu 0.0065 0.0065 0.3299
4 Lu 0.9935 0.9935 0.6701
5 Si 0.3542 0.3542 0.4370
6 Si 0.4908 0.4908 0.1225
7 Si 0.5092 0.5092 0.8775
8 Si 0.6458 0.6458 0.5630
9 Ni 0.2728 0.2728 0.6408
10 Ni 0.7272 0.7272 0.3592

**E**: -5.930 eV per atom
**Space-group type**: C2/m, No. 12
**Crystal system**: monoclinic
**Magnetization**: 0.44 μB/f.u.


This record from the Open Quantum Materials Database describes a relaxed Ho3Lu4Ni2Te2 crystal. The functional is PBE.

Cell lengths 9.2099, 9.2099, 9.2099 Å; angles 156.11, 67.44, 117.99 degrees
Positions (direct):
1 Ho 0.0000 0.0000 0.0000
2 Ho 0.2857 0.4199 0.8658
3 Ho 0.5541 0.4199 0.1342
4 Lu 0.3086 0.6232 0.6854
5 Lu 0.6257 0.2729 0.3528
6 Lu 0.9201 0.2729 0.6472
7 Lu 0.9377 0.6232 0.3146
8 Ni 0.1652 0.9307 0.2345
9 Ni 0.6961 0.9307 0.7655
10 Te 0.2650 0.7650 0.5000
11 Te 0.6654 0.6654 0.0000

**E**: -5.160 eV per atom
**Space-group type**: Imm2, No. 44
**Crystal system**: orthorhombic
**Magnetization**: 0.03 μB/f.u.


This record from the Open Quantum Materials Database describes a relaxed Ho4TmLu2Ni2Te2 crystal. The functional is PBE.

Cell lengths 9.2585, 9.2585, 9.2585 Å; angles 156.18, 67.11, 118.31 degrees
Positions (direct):
1 Ho 0.1341 0.0000 0.1341
2 Ho 0.5005 0.1470 0.3535
3 Ho 0.7935 0.1470 0.6465
4 Ho 0.8659 0.0000 0.8659
5 Tm 0.4180 0.4180 0.0000
6 Lu 0.1116 0.7961 0.3154
7 Lu 0.4807 0.7961 0.6846
8 Ni 0.2507 0.4864 0.7642
9 Ni 0.7222 0.4864 0.2358
10 Te 0.1539 0.6539 0.5000
11 Te 0.7555 0.7555 0.0000

**E**: -5.159 eV per atom
**Space-group type**: Imm2, No. 44
**Crystal system**: orthorhombic
**Magnetization**: 0.01 μB/f.u.


This record from the Open Quantum Materials Database describes a relaxed YHo2Tm2Lu2Ni2Te2 crystal. The functional is PBE.

Cell lengths 9.2467, 9.2467, 9.2467 Å; angles 156.12, 66.97, 118.48 degrees
Positions (direct):
1 Y 0.0000 0.0000 0.0000
2 Ho 0.6207 0.2687 0.3520
3 Ho 0.9166 0.2687 0.6480
4 Tm 0.2840 0.4172 0.8668
5 Tm 0.5505 0.4172 0.1332
6 Lu 0.3056 0.6204 0.6853
7 Lu 0.9351 0.6204 0.3147
8 Ni 0.1673 0.9288 0.2385
9 Ni 0.6904 0.9288 0.7615
10 Te 0.2653 0.7653 0.5000
11 Te 0.6626 0.6626 0.0000

**E**: -5.333 eV per atom
**Space-group type**: Imm2, No. 44
**Crystal system**: orthorhombic
**Magnetization**: 0.01 μB/f.u.


This record from the Open Quantum Materials Database describes a relaxed Y2Ho3Lu2Ni2Te2 crystal. The functional is PBE.

Cell lengths 9.3078, 9.3078, 9.3078 Å; angles 156.20, 66.96, 118.45 degrees
Positions (direct):
1 Y 0.1469 0.0000 0.1469
2 Y 0.8531 0.0000 0.8531
3 Ho 0.2321 0.7321 0.5000
4 Ho 0.5170 0.1493 0.3677
5 Ho 0.7816 0.1493 0.6323
6 Lu 0.1663 0.3510 0.8153
7 Lu 0.5357 0.3510 0.1847
8 Ni 0.3993 0.6609 0.7384
9 Ni 0.9225 0.6609 0.2616
10 Te 0.4952 0.4952 0.0000
11 Te 0.8959 0.3959 0.5000

**E**: -5.518 eV per atom
**Space-group type**: Imm2, No. 44
**Crystal system**: orthorhombic
**Magnetization**: 0.00 μB/f.u.


This record from the Open Quantum Materials Database describes a relaxed Ho2Lu2O5 crystal. The functional is PBE.

Cell lengths 3.8696, 3.8696, 8.9617 Å; angles 90.00, 90.00, 90.00 degrees
Positions (direct):
1 Ho 0.0000 0.0000 0.0000
2 Ho 0.0000 0.0000 0.5000
3 Lu 0.5000 0.5000 0.2446
4 Lu 0.5000 0.5000 0.7554
5 O 0.0000 0.5000 0.1509
6 O 0.0000 0.5000 0.8491
7 O 0.5000 0.0000 0.1509
8 O 0.5000 0.0000 0.8491
9 O 0.5000 0.5000 0.5000

**E**: -7.726 eV per atom
**Space-group type**: P4/mmm, No. 123
**Crystal system**: tetragonal
**Magnetization**: 1.32 μB/f.u.
**E above lowest polymorph**: 0.000 eV per atom


This record from the Open Quantum Materials Database describes a relaxed HoLu2O4 crystal. The functional is PBE.

Cell lengths 6.6128, 6.6128, 6.6128 Å; angles 60.00, 60.00, 60.00 degrees
Positions (direct):
1 Ho 0.1250 0.1250 0.1250
2 Ho 0.8750 0.8750 0.8750
3 Lu 0.0000 0.5000 0.5000
4 Lu 0.5000 0.0000 0.5000
5 Lu 0.5000 0.5000 0.0000
6 Lu 0.5000 0.5000 0.5000
7 O 0.2609 0.2609 0.2609
8 O 0.2609 0.2609 0.7172
9 O 0.2609 0.7172 0.2609
10 O 0.2828 0.7391 0.7391
11 O 0.7172 0.2609 0.2609
12 O 0.7391 0.2828 0.7391
13 O 0.7391 0.7391 0.2828
14 O 0.7391 0.7391 0.7391

**E**: -8.090 eV per atom
**Space-group type**: Fd-3m, No. 227
**Crystal system**: cubic
**Magnetization**: 0.09 μB/f.u.


This record from the Open Quantum Materials Database describes a relaxed Ho2Lu2O5 crystal. The functional is PBE.

Cell lengths 3.8582, 3.8582, 9.2161 Å; angles 90.00, 90.00, 90.00 degrees
Positions (direct):
1 Ho 0.0000 0.0000 0.2417
2 Ho 0.0000 0.0000 0.7583
3 Lu 0.5000 0.5000 0.0000
4 Lu 0.5000 0.5000 0.5000
5 O 0.0000 0.0000 0.5000
6 O 0.0000 0.5000 0.1427
7 O 0.0000 0.5000 0.8573
8 O 0.5000 0.0000 0.1427
9 O 0.5000 0.0000 0.8573

**E**: -7.656 eV per atom
**Space-group type**: P4/mmm, No. 123
**Crystal system**: tetragonal
**Magnetization**: 1.03 μB/f.u.
**E above lowest polymorph**: 0.070 eV per atom


This record from the Open Quantum Materials Database describes a relaxed HoLuO3 crystal. The functional is PBE.

Cell lengths 5.7443, 5.7443, 5.7443 Å; angles 120.43, 120.43, 89.26 degrees
Positions (direct):
1 Ho 0.2500 0.7500 0.5000
2 Ho 0.7500 0.2500 0.5000
3 Lu 0.0000 0.0000 0.0000
4 Lu 0.5000 0.5000 0.0000
5 O 0.1545 0.6545 0.8090
6 O 0.2500 0.2500 0.0000
7 O 0.3455 0.1545 0.5000
8 O 0.6545 0.8455 0.5000
9 O 0.7500 0.7500 0.0000
10 O 0.8455 0.3455 0.1910

**E**: -8.050 eV per atom
**Space-group type**: I4/mcm, No. 140
**Crystal system**: tetragonal
**Magnetization**: 0.00 μB/f.u.


This record from the Open Quantum Materials Database describes a relaxed HoLuPO crystal. The functional is PBE.

Cell lengths 4.0602, 7.3443, 5.5551 Å; angles 90.00, 90.00, 90.00 degrees
Positions (direct):
1 Ho 0.0000 0.1257 0.0000
2 Ho 0.0000 0.8743 0.5000
3 Lu 0.5000 0.2910 0.4504
4 Lu 0.5000 0.7090 0.9504
5 P 0.5000 0.3480 0.9432
6 P 0.5000 0.6520 0.4432
7 O 0.0000 0.1775 0.4019
8 O 0.0000 0.8225 0.9019

**E**: -6.870 eV per atom
**Space-group type**: Pmc2_1, No. 26
**Crystal system**: orthorhombic
**Magnetization**: 0.01 μB/f.u.
**E above lowest polymorph**: 0.028 eV per atom


This record from the Open Quantum Materials Database describes a relaxed HoLuPO crystal. The functional is PBE.

Cell lengths 4.1170, 7.3034, 5.6537 Å; angles 90.00, 90.00, 90.00 degrees
Positions (direct):
1 Ho 0.0000 0.2045 0.0000
2 Ho 0.0000 0.7955 0.5000
3 Lu 0.5000 0.3802 0.5635
4 Lu 0.5000 0.6198 0.0635
5 P 0.0000 0.1662 0.4947
6 P 0.0000 0.8338 0.9947
7 O 0.5000 0.3346 0.9430
8 O 0.5000 0.6654 0.4430

**E**: -6.898 eV per atom
**Space-group type**: Pmc2_1, No. 26
**Crystal system**: orthorhombic
**Magnetization**: 0.02 μB/f.u.
**E above lowest polymorph**: 0.000 eV per atom


This record from the Open Quantum Materials Database describes a relaxed HoLuPO crystal. The functional is PBE.

Cell lengths 4.2489, 4.2489, 8.4336 Å; angles 90.00, 90.00, 90.00 degrees
Positions (direct):
1 Ho 0.2500 0.2500 0.1053
2 Ho 0.7500 0.7500 0.8947
3 Lu 0.2500 0.7500 0.5000
4 Lu 0.7500 0.2500 0.5000
5 P 0.2500 0.2500 0.6921
6 P 0.7500 0.7500 0.3079
7 O 0.2500 0.7500 0.0000
8 O 0.7500 0.2500 0.0000

**E**: -6.819 eV per atom
**Space-group type**: P4/nmm, No. 129
**Crystal system**: tetragonal
**Magnetization**: 0.00 μB/f.u.
**E above lowest polymorph**: 0.079 eV per atom